# Ti2BeRuS PBE optimized geometry
# Calculated density in Mg/m³: 4.04
# Electronic total energy in eV/atom: -5.87
data_Ti2BeRuS
_symmetry_space_group_name_H-M 'P 4/m m m'
_symmetry_Int_Tables_number 123
_symmetry_space_group_name_Hall '-P 4 2'
_cell_length_a 4.714
_cell_length_b 4.714
_cell_length_c 4.403
_cell_angle_alpha 90.00
_cell_angle_beta 90.00
_cell_angle_gamma 90.00
loop_
_atom_site_label
_atom_site_type_symbol
_atom_site_fract_x
_atom_site_fract_y
_atom_site_fract_z
Ti1 Ti 0.000 0.500 0.000
Be1 Be 0.000 0.000 0.500
Ru1 Ru 0.500 0.500 0.000
S1 S 0.500 0.500 0.500



# K6Be4C6O19 PBE optimized geometry
# Calculated density in Mg/m³: 2.08
# Electronic total energy in eV/atom: -6.84
data_K6Be4C6O19
_symmetry_space_group_name_H-M 'R -3'
_symmetry_Int_Tables_number 148
_symmetry_space_group_name_Hall '-R 3'
_cell_length_a 14.4571
_cell_length_b 14.4571
_cell_length_c 17.1387
_cell_angle_alpha 90.00
_cell_angle_beta 90.00
_cell_angle_gamma 120.00
loop_
_atom_site_label
_atom_site_type_symbol
_atom_site_fract_x
_atom_site_fract_y
_atom_site_fract_z
K1 K 0.0296 0.4542 0.1070
K2 K 0.0480 0.4481 0.6271
Be1 Be 0.0000 0.0000 0.1572
Be2 Be 0.0312 0.1203 0.2864
C1 C 0.0171 0.8299 0.8509
C2 C 0.0507 0.2011 0.6367
O1 O 0.0000 0.0000 0.2558
O2 O 0.0310 0.1989 0.2172
O3 O 0.0349 0.7660 0.8904
O4 O 0.0407 0.8503 0.3260
O5 O 0.0476 0.9263 0.8771
O6 O 0.0485 0.8795 0.6454
O7 O 0.0524 0.4580 0.2607



# MnAg2Mo PBE optimized geometry
# Calculated density in Mg/m³: 9.39
# Excess energy over the best structure of this formula in the dataset in meV/atom: 181
# Formation enthalpy at 0 K in kJ/mol of formula units: 184
data_MnAg2Mo
_symmetry_space_group_name_H-M 'C 1 2/m 1'
_symmetry_Int_Tables_number 12
_symmetry_space_group_name_Hall '-C 2y'
_cell_length_a 9.858
_cell_length_b 2.791
_cell_length_c 4.776
_cell_angle_alpha 90.00
_cell_angle_beta 99.28
_cell_angle_gamma 90.00
loop_
_atom_site_label
_atom_site_type_symbol
_atom_site_fract_x
_atom_site_fract_y
_atom_site_fract_z
Mn1 Mn 0.000 0.000 0.000
Ag1 Ag 0.249 0.500 0.249
Mo1 Mo 0.000 0.500 0.500



> Which of these has the highest calculated density?

MnAg2Mo



> Look up the calculated density of the third one.

9.39 Mg/m³



> Number 2 is which compound?

K6Be4C6O19